# AlIn2NiAu PBE optimized geometry
# final energy = -3.11 eV per atom
# space group = P4/mmm, No. 123
data_AlIn2NiAu
_chemical_formula_sum 'Al1 In2 Ni1 Au1'
_symmetry_space_group_name_H-M 'P 1'
_symmetry_Int_Tables_number 1
_symmetry_space_group_name_Hall 'P 1'
_cell_length_a 5.2571
_cell_length_b 4.3923
_cell_length_c 5.2571
_cell_angle_alpha 90.00
_cell_angle_beta 90.00
_cell_angle_gamma 90.00
loop_
_atom_site_label
_atom_site_fract_x
_atom_site_fract_y
_atom_site_fract_z
In1 0.0000 0.0000 0.5000
In2 0.5000 0.0000 0.0000
Al1 0.0000 0.0000 0.0000
Au1 0.5000 0.5000 0.5000
Ni1 0.0000 0.5000 0.0000